1.
CaTbC: relaxed, PBE.

The calculation puts the formation energy at 0.105 eV per atom.

The space group is C2/m (No. 12) and the conventional cell measures 13.245, 3.520 and 7.122 Å, with angles of 90.00, 115.10 and 90.00 degrees. Symmetry generates all atoms from Ca at (0.001, 0.000, 0.287), Tb at (0.242, 0.500, 0.293) and C at (0.142, 0.500, 0.509).

=====

2.
Ca2Tc4C: relaxed, PBE.

The calculation puts the formation energy at 0.599 eV per atom.

The space group is I4/mmm (No. 139) and the conventional cell measures 4.152, 4.152 and 15.511 Å, with angles of 90.00, 90.00 and 90.00 degrees. Symmetry generates all atoms from Ca at (0.000, 0.000, 0.160), Tc at (0.000, 0.000, 0.374), Tc at (0.000, 0.500, 0.000) and C at (0.000, 0.000, 0.500).

=====

3.
Ca2TcC: relaxed, PBE.

The calculation puts the formation energy at 0.301 eV per atom.

The space group is I-42d (No. 122) and the conventional cell measures 9.884, 9.884 and 3.957 Å, with angles of 90.00, 90.00 and 90.00 degrees. Symmetry generates all atoms from Ca at (0.068, 0.250, 0.125), Tc at (0.000, 0.000, 0.500) and C at (0.000, 0.000, 0.000).

=====

4.
CaTc3C2: relaxed, PBE.

The calculation puts the formation energy at 0.107 eV per atom.

The space group is C2/m (No. 12) and the conventional cell measures 12.817, 3.777 and 7.972 Å, with angles of 90.00, 116.50 and 90.00 degrees. Symmetry generates all atoms from Ca at (0.135, 0.000, 0.018), Tc at (0.062, 0.000, 0.398), Tc at (0.109, 0.500, 0.672), Tc at (0.209, 0.500, 0.376), C at (0.026, 0.500, 0.261) and C at (0.183, 0.000, 0.739).

=====

5.
Ca3TcC2: relaxed, PBE.

The calculation puts the formation energy at 0.081 eV per atom.

The space group is Cmcm (No. 63) and the conventional cell measures 8.795, 7.792 and 6.654 Å, with angles of 90.00, 90.00 and 90.00 degrees. Symmetry generates all atoms from Ca at (0.000, 0.235, 0.250), Ca at (0.212, 0.500, 0.000), Tc at (0.000, 0.155, 0.750), C at (0.000, 0.000, 0.000) and C at (0.000, 0.401, 0.750).

=====

6.
CaTc2C2: relaxed, PBE.

The calculation puts the formation energy at -0.001 eV per atom.

The space group is Fddd (No. 70, origin choice 2) and the conventional cell measures 6.720, 8.769 and 9.487 Å, with angles of 90.00, 90.00 and 90.00 degrees. Symmetry generates all atoms from Ca at (0.125, 0.125, 0.125), Tc at (0.125, 0.125, 0.486) and C at (0.125, 0.317, 0.625).

=====

7.
Ca2Tc2C3: relaxed, PBE.

The calculation puts the formation energy at -0.067 eV per atom.

The space group is P2_1/c (No. 14) and the conventional cell measures 5.689, 6.342 and 6.353 Å, with angles of 90.00, 115.18 and 90.00 degrees. Symmetry generates all atoms from Ca at (0.186, 0.136, 0.418), Tc at (0.336, 0.614, 0.562), C at (0.000, 0.000, 0.000) and C at (0.413, 0.632, 0.272).

=====

8.
CaTc4C2: relaxed, PBE.

The calculation puts the formation energy at 0.158 eV per atom.

The space group is Cmmm (No. 65) and the conventional cell measures 3.962, 14.052 and 3.924 Å, with angles of 90.00, 90.00 and 90.00 degrees. Symmetry generates all atoms from Ca at (0.000, 0.000, 0.000), Tc at (0.000, 0.179, 0.500), Tc at (0.000, 0.311, 0.000) and C at (0.000, 0.362, 0.500).

=====

9.
CaTc2C3: relaxed, PBE.

The calculation puts the formation energy at 0.280 eV per atom.

The space group is Cmcm (No. 63) and the conventional cell measures 7.172, 9.637 and 5.325 Å, with angles of 90.00, 90.00 and 90.00 degrees. Symmetry generates all atoms from Ca at (0.000, 0.216, 0.250), Tc at (0.194, 0.500, 0.000), C at (0.000, 0.429, 0.750) and C at (0.096, 0.048, 0.750).

=====

10.
CaTc3C: relaxed, PBE.

The calculation puts the relative energy among the computed polymorphs at 3.514 eV per atom. The calculation puts the formation energy at 3.875 eV per atom.

The space group is Pm-3m (No. 221) and the conventional cell measures 4.626, 4.626 and 4.626 Å, with angles of 90.00, 90.00 and 90.00 degrees. Symmetry generates all atoms from Ca at (0.000, 0.000, 0.000), Tc at (0.000, 0.000, 0.500) and C at (0.500, 0.500, 0.500).

=====

11.
CaTc3C: relaxed, PBE.

The calculation puts the relative energy among the computed polymorphs at 0.000 eV per atom. The calculation puts the formation energy at 0.360 eV per atom.

The space group is Pm-3m (No. 221) and the conventional cell measures 4.213, 4.213 and 4.213 Å, with angles of 90.00, 90.00 and 90.00 degrees. Symmetry generates all atoms from Ca at (0.000, 0.000, 0.000), Tc at (0.000, 0.500, 0.500) and C at (0.500, 0.500, 0.500).

=====

12.
CaTi2TcC: relaxed, PBE.

The calculation puts the formation energy at 0.059 eV per atom.

The space group is P4/mmm (No. 123) and the conventional cell measures 4.442, 4.442 and 4.094 Å, with angles of 90.00, 90.00 and 90.00 degrees. Symmetry generates all atoms from Ca at (0.000, 0.000, 0.000), Ti at (0.000, 0.500, 0.500), Tc at (0.500, 0.500, 0.000) and C at (0.500, 0.500, 0.500).

=====

13.
CaTlTc2C: relaxed, PBE.

The calculation puts the formation energy at 0.582 eV per atom.

The space group is P4/mmm (No. 123) and the conventional cell measures 4.139, 4.139 and 5.304 Å, with angles of 90.00, 90.00 and 90.00 degrees. Symmetry generates all atoms from Ca at (0.000, 0.000, 0.000), Tl at (0.500, 0.500, 0.000), Tc at (0.000, 0.500, 0.500) and C at (0.500, 0.500, 0.500).

=====

14.
CaTe3C: relaxed, PBE.

The calculation puts the relative energy among the computed polymorphs at 1.337 eV per atom. The value obtained for the formation energy (no corrections) is 158.6 kJ/mol of atoms.

The space group is Pm-3m (No. 221) and the conventional cell measures 5.777, 5.777 and 5.777 Å, with angles of 90.00, 90.00 and 90.00 degrees. Symmetry generates all atoms from Ca at (0.000, 0.000, 0.000), Te at (0.000, 0.000, 0.500) and C at (0.500, 0.500, 0.500).

=====

15.
CaTe3C: relaxed, PBE.

The calculation puts the relative energy among the computed polymorphs at 0.000 eV per atom. The value obtained for the formation energy (no corrections) is 29.5 kJ/mol of atoms.

The space group is Pm-3m (No. 221) and the conventional cell measures 4.930, 4.930 and 4.930 Å, with angles of 90.00, 90.00 and 90.00 degrees. Symmetry generates all atoms from Ca at (0.000, 0.000, 0.000), Te at (0.000, 0.500, 0.500) and C at (0.500, 0.500, 0.500).

=====

16.
CaTeC2: relaxed, PBE.

The value obtained for the formation energy (no corrections) is 92.8 kJ/mol of atoms.

The space group is I-42d (No. 122) and the conventional cell measures 5.955, 5.955 and 7.767 Å, with angles of 90.00, 90.00 and 90.00 degrees. Symmetry generates all atoms from Ca at (0.000, 0.000, 0.000), Te at (0.000, 0.000, 0.500) and C at (0.191, 0.250, 0.625).

=====

17.
CaTiTe2C: relaxed, PBE.

The value obtained for the formation energy (no corrections) is 202.3 kJ/mol of atoms.

The space group is P4/mmm (No. 123) and the conventional cell measures 5.678, 5.678 and 5.688 Å, with angles of 90.00, 90.00 and 90.00 degrees. Symmetry generates all atoms from Ca at (0.000, 0.000, 0.000), Ti at (0.000, 0.000, 0.500), Te at (0.000, 0.500, 0.000) and C at (0.500, 0.500, 0.500).

=====

18.
Ca3TiC: relaxed, PBE.

The calculation puts the relative energy among the computed polymorphs at 1.306 eV per atom. The calculation puts the formation energy at 1.993 eV per atom.

The space group is Pm-3m (No. 221) and the conventional cell measures 5.879, 5.879 and 5.879 Å, with angles of 90.00, 90.00 and 90.00 degrees. Symmetry generates all atoms from Ca at (0.000, 0.000, 0.500), Ti at (0.000, 0.000, 0.000) and C at (0.500, 0.500, 0.500).

=====

19.
CaTi2C: relaxed, PBE.

The calculation puts the formation energy at 0.252 eV per atom.

The space group is Fd-3m (No. 227, origin choice 2) and the conventional cell measures 9.084, 9.084 and 9.084 Å, with angles of 90.00, 90.00 and 90.00 degrees. Symmetry generates all atoms from Ca at (0.125, 0.125, 0.125), Ti at (0.000, 0.000, 0.500) and C at (0.125, 0.125, 0.625).

=====

20.
Ca2TiC2: relaxed, PBE.

The calculation puts the relative energy among the computed polymorphs at 0.000 eV per atom. The calculation puts the formation energy at 1.173 eV per atom.

The space group is P4/mbm (No. 127) and the conventional cell measures 7.348, 7.348 and 2.825 Å, with angles of 90.00, 90.00 and 90.00 degrees. Symmetry generates all atoms from Ca at (0.127, 0.373, 0.000), Ti at (0.000, 0.000, 0.000) and C at (0.173, 0.673, 0.500).

=====

21.
Ca3TiC: relaxed, PBE.

The calculation puts the relative energy among the computed polymorphs at 0.000 eV per atom. The calculation puts the formation energy at 0.687 eV per atom.

The space group is Pm-3m (No. 221) and the conventional cell measures 5.085, 5.085 and 5.085 Å, with angles of 90.00, 90.00 and 90.00 degrees. Symmetry generates all atoms from Ca at (0.000, 0.000, 0.500), Ti at (0.500, 0.500, 0.500) and C at (0.000, 0.000, 0.000).

=====

22.
CaTi3C: relaxed, PBE.

The calculation puts the relative energy among the computed polymorphs at 2.798 eV per atom. The calculation puts the formation energy at 2.871 eV per atom.

The space group is Pm-3m (No. 221) and the conventional cell measures 4.479, 4.479 and 4.479 Å, with angles of 90.00, 90.00 and 90.00 degrees. Symmetry generates all atoms from Ca at (0.000, 0.000, 0.000), Ti at (0.000, 0.000, 0.500) and C at (0.500, 0.500, 0.500).

=====

23.
CaTi3C: relaxed, PBE.

The calculation puts the relative energy among the computed polymorphs at 0.000 eV per atom. The calculation puts the formation energy at 0.073 eV per atom.

The space group is Pm-3m (No. 221) and the conventional cell measures 4.409, 4.409 and 4.409 Å, with angles of 90.00, 90.00 and 90.00 degrees. Symmetry generates all atoms from Ca at (0.000, 0.000, 0.000), Ti at (0.000, 0.500, 0.500) and C at (0.500, 0.500, 0.500).

=====

24.
Ca2TiC2: relaxed, PBE.

The calculation puts the relative energy among the computed polymorphs at 0.182 eV per atom. The calculation puts the formation energy at 1.355 eV per atom.

The space group is I4/mmm (No. 139) and the conventional cell measures 4.508, 4.508 and 8.831 Å, with angles of 90.00, 90.00 and 90.00 degrees. Symmetry generates all atoms from Ca at (0.000, 0.000, 0.159), Ti at (0.000, 0.000, 0.500) and C at (0.000, 0.500, 0.250).

=====

25.
Ca2TiC: relaxed, PBE.

The calculation puts the formation energy at 0.330 eV per atom.

The space group is I-42d (No. 122) and the conventional cell measures 9.869, 9.869 and 4.157 Å, with angles of 90.00, 90.00 and 90.00 degrees. Symmetry generates all atoms from Ca at (0.081, 0.250, 0.125), Ti at (0.000, 0.000, 0.500) and C at (0.000, 0.000, 0.000).

=====

26.
CaTiTl2C: relaxed, PBE.

The calculation puts the formation energy at 1.754 eV per atom.

The space group is P4/mmm (No. 123) and the conventional cell measures 5.335, 5.335 and 5.941 Å, with angles of 90.00, 90.00 and 90.00 degrees. Symmetry generates all atoms from Ca at (0.000, 0.000, 0.000), Ti at (0.000, 0.000, 0.500), Tl at (0.000, 0.500, 0.500) and C at (0.500, 0.500, 0.000).